1.
# HfCoCuB

An optimized crystal structure of HfCoCuB (PBE, the Open Quantum Materials Database).

Geometry as extended XYZ:
```
4
Lattice="3.7610 0.0503 1.6451 0.4671 0.5843 4.0367 1.2353 -3.0986 2.3932" Properties=species:S:1:pos:R:3 pbc="T T T"
Hf 2.7317 -1.2320 4.0375
Co 4.0976 -1.8480 6.0563
B 0.0000 0.0000 0.0000
Cu 1.3659 -0.6160 2.0188
```

* distance to the lowest polymorph of the same formula: 173 meV per atom

---

2.
# ZnSb

An optimized crystal structure of ZnSb (PBE, the Open Quantum Materials Database).

Geometry as extended XYZ:
```
12
Lattice="5.3468 0.0000 0.0000 0.0000 9.1293 0.0000 0.0000 0.0000 5.5227" Properties=species:S:1:pos:R:3 pbc="T T T"
Zn 4.8873 7.5986 2.7614
Zn 4.9356 1.5964 0.0000
Zn 2.2217 6.0367 0.0000
Sb 2.1958 0.0252 2.7614
Sb 2.2340 3.0379 0.0000
Sb 4.9126 4.5621 2.7614
Sb 4.9074 7.6129 0.0000
Zn 2.2622 9.0544 0.0000
Zn 2.2139 3.0522 2.7614
Zn 4.8951 4.6141 0.0000
Sb 2.2392 6.0887 2.7614
Sb 4.8692 1.4963 2.7614
```

---

3.
# Dy2Ga8Co

An optimized crystal structure of Dy2Ga8Co (PBE, the Open Quantum Materials Database).

Geometry as extended XYZ:
```
11
Lattice="-0.0234 4.0300 1.2643 -3.5488 0.6668 -2.1911 -6.0082 -2.8186 8.8733" Properties=species:S:1:pos:R:3 pbc="T T T"
Ga -7.0835 -2.1573 6.7453
Ga -0.7108 1.6870 1.6646
Ga -5.9879 0.3772 5.7421
Dy -1.8355 -0.8611 2.7107
Ga -4.7785 -1.0759 3.3411
Ga -3.5925 1.5009 2.2044
Dy -4.1727 -1.9575 6.1625
Ga -2.4735 0.0054 -0.0631
Ga -5.3209 -0.4757 8.4730
Ga -3.0158 0.6057 5.0688
Co 0.0000 0.0000 0.0000
```

---

4.
# YNbCuBi

An optimized crystal structure of YNbCuBi (PBE, the Open Quantum Materials Database).

Geometry as extended XYZ:
```
4
Lattice="3.1708 -3.6760 1.0698 2.4595 0.0176 4.3199 -1.1386 -3.3183 3.5219" Properties=species:S:1:pos:R:3 pbc="T T T"
Nb 1.1229 -1.7442 2.2279
Y 2.2458 -3.4883 4.4558
Bi 0.0000 0.0000 0.0000
Cu 3.3688 -5.2325 6.6837
```

* distance to the lowest polymorph of the same formula: 0 meV per atom

---

5.
# Sr2MgOsSe6

An optimized crystal structure of Sr2MgOsSe6 (PBE, the Open Quantum Materials Database).

Geometry as extended XYZ:
```
10
Lattice="6.6930 -0.5491 3.0911 -1.2267 -4.8208 5.4687 -1.6974 -0.8311 -7.1470" Properties=species:S:1:pos:R:3 pbc="T T T"
Se 3.9861 -3.9158 6.2420
Sr -0.0955 -4.1684 1.3008
Os 2.7331 -2.6849 4.2799
Se -1.1169 -3.8183 -1.6821
Se 4.8857 -2.3827 3.0949
Se 2.4044 -4.8526 3.1299
Se 1.4801 -1.4540 2.3178
Mg 0.0000 0.0000 0.0000
Sr 3.8643 -2.0326 0.1120
Se 1.3644 -1.3484 -1.7171
```

* distance to the lowest polymorph of the same formula: 0 meV per atom

---

6.
# Sc2BiAsPd2

An optimized crystal structure of Sc2BiAsPd2 (PBE, the Open Quantum Materials Database).

Geometry as extended XYZ:
```
24
Lattice="10.9429 0.0000 0.0000 0.0000 4.4672 0.0000 -3.6590 0.0000 10.3331" Properties=species:S:1:pos:R:3 pbc="T T T"
As 4.5243 0.0000 2.5694
Pd 3.5967 2.2336 1.3727
Sc 2.7136 0.0000 0.1133
As 0.9086 0.0000 5.1177
Sc 2.6856 2.2336 3.8270
Bi 8.1995 2.2336 3.8390
Sc -0.8746 0.0000 2.5853
Pd 0.0664 0.0000 7.6215
Sc 2.7853 0.0000 7.7722
Pd 0.0750 2.2336 3.8370
Sc -0.8362 2.2336 6.3701
Pd 3.5431 0.0000 5.0494
Pd 7.2086 0.0000 2.4585
Pd -0.0021 0.0000 0.1321
Pd 7.2839 2.2336 6.4544
Bi 4.5267 2.2336 6.4618
As 8.2329 0.0000 0.0277
Sc 6.3887 2.2336 9.1936
Sc 6.3042 0.0000 5.0771
As 0.9156 2.2336 1.3219
Sc 6.3315 2.2336 1.2898
Bi -2.7271 0.0000 7.7855
Bi 0.9048 2.2336 9.0534
Pd 3.7260 2.2336 9.1668
```

---

So what do the calculations give for E? Going down the list: -6.638, -2.590, -4.175, -5.678, -4.575, -6.196 eV per atom.